1.
A plane-wave DFT calculation with PBE-GGA was carried out for a relaxed Be2AsSe crystal.

The calculation puts the total DFT energy (no corrections) at -4.08 eV/atom. The calculation puts the formation energy (no corrections) at -184 meV per atom. For the density of states at the Fermi level, the calculation gives 0.7 states/eV/f.u. As for the crystal system: monoclinic.

abc: 3.764 3.764 6.583
angles: 61.78 61.78 56.59
Positions (direct):
Be (0.801, 0.801, 0.157)
Be (0.880, 0.880, 0.724)
As (0.175, 0.175, 0.053)
Se (0.643, 0.643, 0.566)

---

2.
A plane-wave DFT calculation with PBE-GGA was carried out for a relaxed BeAsSe crystal.

The calculation puts the total DFT energy (no corrections) at -3.78 eV/atom. The calculation puts the formation energy (no corrections) at 172 meV per atom. For the density of states at the Fermi level, the calculation gives 1.6 states/eV/f.u. As for the crystal system: trigonal.

abc: 2.994 2.994 7.551
angles: 90.00 90.00 120.00
Positions (direct):
As (0.000, 0.000, 0.099)
Se (0.333, 0.667, 0.559)
Be (0.667, 0.333, 0.342)

---

3.
A plane-wave DFT calculation with PBE-GGA was carried out for a relaxed Be2AsSe crystal.

The calculation puts the total DFT energy (no corrections) at -3.30 eV/atom. The calculation puts the formation energy (no corrections) at 599 meV per atom. For the density of states at the Fermi level, the calculation gives 1.9 states/eV/f.u. As for the crystal system: cubic.

abc: 4.337 4.337 4.337
angles: 60.00 60.00 60.00
Positions (direct):
Be (0.750, 0.750, 0.750)
Be (0.250, 0.250, 0.250)
As (0.000, 0.000, 0.000)
Se (0.500, 0.500, 0.500)

---

4.
A plane-wave DFT calculation with PBE-GGA was carried out for a relaxed Be2AsSe crystal.

The calculation puts the total DFT energy (no corrections) at -4.17 eV/atom. The calculation puts the formation energy (no corrections) at -276 meV per atom. For the density of states at the Fermi level, the calculation gives 2.8 states/eV/f.u. As for the crystal system: tetragonal.

abc: 5.235 5.235 6.285
angles: 65.39 65.39 90.00
Positions (direct):
Be (0.629, 0.125, 0.250)
Be (0.875, 0.879, 0.750)
Be (0.121, 0.625, 0.250)
Be (0.375, 0.371, 0.750)
Se (0.000, 0.000, 0.000)
Se (0.750, 0.250, 0.500)
As (0.250, 0.750, 0.500)
As (0.500, 0.500, 0.000)

---

Please write out number 3 again, unchanged.
A plane-wave DFT calculation with PBE-GGA was carried out for a relaxed Be2AsSe crystal.

The calculation puts the total DFT energy (no corrections) at -3.30 eV/atom. The calculation puts the formation energy (no corrections) at 599 meV per atom. For the density of states at the Fermi level, the calculation gives 1.9 states/eV/f.u. As for the crystal system: cubic.

abc: 4.337 4.337 4.337
angles: 60.00 60.00 60.00
Positions (direct):
Be (0.750, 0.750, 0.750)
Be (0.250, 0.250, 0.250)
As (0.000, 0.000, 0.000)
Se (0.500, 0.500, 0.500)

---

What is the formula in the second record? BeAsSe